No. 1
4
Lattice="4.176 0.017 0.000 -0.015 4.176 0.000 0.000 0.000 3.445" Properties=species:S:1:pos:R:3 comment="YFe2Co (PBE, relaxed)" vol_a3_per_atom=15.02 delta_e_f_ev_per_atom=0.304 pbc="T T T"
Fe 2.081 2.097 0.000
Fe 0.000 0.000 0.000
Co -0.007 2.088 1.722
Y 2.088 0.009 1.722

***

No. 2
4
Lattice="-2.882 2.417 0.234 -1.537 -2.114 2.899 2.613 2.308 8.324" Properties=species:S:1:pos:R:3 comment="Ba2IrAu (PBE, relaxed)" polymorph_energy_ev_per_atom=0.040 vol_a3_per_atom=29.92 delta_e_f_ev_per_atom=-0.261 pbc="T T T"
Ba 0.440 -0.007 5.484
Ba -1.439 -2.010 3.027
Au -0.634 1.354 8.535
Ir -1.172 1.257 2.923

***

No. 3
5
Lattice="4.544 0.000 0.000 0.000 4.544 0.000 0.000 0.000 4.544" Properties=species:S:1:pos:R:3 comment="ZnNi3Ir (PBE, relaxed)" polymorph_energy_ev_per_atom=1.261 vol_a3_per_atom=18.76 delta_e_f_ev_per_atom=1.174 pbc="T T T"
Ni 2.272 0.000 0.000
Ni 0.000 2.272 0.000
Ni 0.000 0.000 2.272
Ir 0.000 0.000 0.000
Zn 2.272 2.272 2.272

***

no.,calculated total energy (hartree per atom)
1,-0.269
2,-0.156
3,-0.159